A relaxed structure of TcTeP2. Source: Alexandria, functional GGA-PBE.

Values from the calculation:
N(E_F), states/eV/f.u.: 2.4
ΔE_f (raw), kcal/mol of atoms: 12.4

abc: 5.310 5.310 5.310
angles: 143.79 123.36 69.10
Fractional positions:
P 0.971 0.971 0.000
P 0.755 0.255 0.500
Tc 0.566 0.566 0.000
Te 0.207 0.707 0.500

***

A relaxed structure of Pr2Ga5Ir. Source: Alexandria, functional GGA-PBE.

Values from the calculation:
N(E_F), states/eV/f.u.: 3.1
ΔE_f, eV/atom: -0.52

abc: 6.341 6.341 6.341
angles: 87.00 121.74 121.74
Fractional positions:
Pr 0.500 0.241 0.741
Pr 0.500 0.741 0.241
Ga 0.430 0.705 0.705
Ga 0.000 0.705 0.274
Ga 0.000 0.274 0.705
Ga 0.570 0.274 0.274
Ga 0.000 0.274 0.274
Ir 0.000 0.008 0.008

***

A relaxed structure of ReAgRh2. Source: Alexandria, functional GGA-PBE.

Values from the calculation:
N(E_F), states/eV/f.u.: 5.2
Excess energy over the best structure of this formula in the dataset, meV per atom: 256
ΔE_f, eV/atom: 0.25

abc: 4.742 4.742 4.919
angles: 81.45 81.45 33.43
Fractional positions:
Re 0.000 0.000 0.500
Ag 0.500 0.500 0.000
Rh 0.254 0.254 0.734
Rh 0.746 0.746 0.266

***

A relaxed structure of NaAlGa4. Source: Alexandria, functional GGA-PBE.

Values from the calculation:
N(E_F), states/eV/f.u.: 1.9
Excess energy over the best structure of this formula in the dataset, meV per atom: 5
ΔE_f, eV/atom: -0.02

abc: 4.506 4.506 6.900
angles: 90.00 90.00 120.00
Fractional positions:
Na 0.000 0.000 0.500
Al 0.000 0.000 0.000
Ga 0.667 0.333 0.789
Ga 0.333 0.667 0.211
Ga 0.667 0.333 0.211
Ga 0.333 0.667 0.789

***

A relaxed structure of YFeSe2. Source: Alexandria, functional GGA-PBE.

Values from the calculation:
N(E_F), states/eV/f.u.: 3.5
ΔE_f (raw), kcal/mol of atoms: -21.3

abc: 6.590 6.590 3.754
angles: 90.03 90.03 32.59
Fractional positions:
Fe 0.238 0.238 0.125
Se 0.040 0.040 0.125
Se 0.774 0.774 0.625
Y 0.448 0.448 0.625

***

A relaxed structure of LiNdPN3. Source: Alexandria, functional GGA-PBE.

Values from the calculation:
ΔE_f (raw), kcal/mol of atoms: -17.4

abc: 5.057 5.320 5.466
angles: 119.12 90.00 90.00
Fractional positions:
Li 0.250 0.425 0.849
Li 0.750 0.575 0.151
Nd 0.750 0.279 0.558
Nd 0.250 0.721 0.442
P 0.250 0.046 0.092
P 0.750 0.954 0.908
N 0.250 0.222 0.444
N 0.000 0.221 0.000
N 0.500 0.779 0.000
N 0.500 0.221 0.000
N 0.000 0.779 0.000
N 0.750 0.778 0.556

***

A relaxed structure of Hf2CdBi2. Source: Alexandria, functional GGA-PBE.

Values from the calculation:
N(E_F), states/eV/f.u.: 1.5
Excess energy over the best structure of this formula in the dataset, meV per atom: 161
ΔE_f, eV/atom: 0.14

abc: 8.279 8.279 3.757
angles: 90.00 90.00 90.00
Fractional positions:
Hf 0.132 0.632 0.500
Hf 0.632 0.868 0.500
Hf 0.868 0.368 0.500
Hf 0.368 0.132 0.500
Bi 0.342 0.842 0.000
Bi 0.842 0.658 0.000
Bi 0.658 0.158 0.000
Bi 0.158 0.342 0.000
Cd 0.000 0.000 0.000
Cd 0.500 0.500 0.000

***

A relaxed structure of Tm3AlBi. Source: Alexandria, functional GGA-PBE.

Values from the calculation:
N(E_F), states/eV/f.u.: 3.6
ΔE_f, eV/atom: -0.37

abc: 6.308 9.405 9.405
angles: 84.86 99.79 99.79
Fractional positions:
Tm 0.598 0.249 0.119
Tm 0.098 0.119 0.249
Tm 0.902 0.881 0.751
Tm 0.402 0.751 0.881
Tm 0.963 0.227 0.600
Tm 0.463 0.600 0.227
Tm 0.537 0.400 0.773
Tm 0.037 0.773 0.400
Tm 0.888 0.628 0.027
Tm 0.388 0.027 0.628
Tm 0.612 0.973 0.372
Tm 0.112 0.372 0.973
Al 0.250 0.886 0.114
Al 0.250 0.105 0.895
Al 0.750 0.114 0.886
Al 0.750 0.895 0.105
Bi 0.986 0.445 0.305
Bi 0.486 0.305 0.445
Bi 0.514 0.695 0.555
Bi 0.014 0.555 0.695

***

A relaxed structure of Li4PuTl. Source: Alexandria, functional GGA-PBE.

Values from the calculation:
N(E_F), states/eV/f.u.: 18.2
ΔE_f, eV/atom: 0.06

abc: 5.577 5.577 5.577
angles: 60.00 60.00 60.00
Fractional positions:
Tl 0.000 0.000 0.000
Li 0.626 0.626 0.122
Li 0.626 0.122 0.626
Li 0.626 0.626 0.626
Li 0.122 0.626 0.626
Pu 0.250 0.250 0.250

***

A relaxed structure of SrMg2HgPd. Source: Alexandria, functional GGA-PBE.

Values from the calculation:
N(E_F), states/eV/f.u.: 2.9
ΔE_f, eV/atom: -0.31

abc: 5.028 5.028 5.395
angles: 90.00 90.00 90.00
Fractional positions:
Sr 0.500 0.500 0.500
Mg 0.000 0.500 0.000
Mg 0.500 0.000 0.000
Hg 0.000 0.000 0.500
Pd 0.000 0.000 0.000

***

A relaxed structure of Be3SbTe. Source: Alexandria, functional GGA-PBE.

Values from the calculation:
N(E_F), states/eV/f.u.: 2.4
ΔE_f (raw), kcal/mol of atoms: 20.9
Excess energy over the best structure of this formula in the dataset, meV per atom: 0

abc: 4.755 4.755 4.755
angles: 90.00 90.00 90.00
Fractional positions:
Sb 0.000 0.000 0.000
Te 0.500 0.500 0.500
Be 0.000 0.500 0.000
Be 0.000 0.000 0.500
Be 0.500 0.000 0.000

***

A relaxed structure of Pm6Ga2C. Source: Alexandria, functional GGA-PBE.

Values from the calculation:
N(E_F), states/eV/f.u.: 9.3
Excess energy over the best structure of this formula in the dataset, meV per atom: 262
ΔE_f, eV/atom: -0.03

abc: 4.875 6.878 8.431
angles: 114.07 106.79 90.00
Fractional positions:
Pm 0.154 0.387 0.309
Pm 0.846 0.078 0.691
Pm 0.846 0.613 0.691
Pm 0.500 0.226 0.000
Pm 0.154 0.922 0.309
Pm 0.500 0.774 0.000
Ga 0.663 0.663 0.327
Ga 0.337 0.337 0.673
C 0.000 0.000 0.000

***

no.,total energy (eV per atom)
1,-5.546
2,-4.718
3,-7.250
4,-2.884
5,-6.397
6,-6.931
7,-5.578
8,-4.576
9,-4.000
10,-2.388
11,-2.783
12,-4.896